Compound: Sr2LiCr
Source: the Alexandria database
Functional: PBEsol
Structure: relaxed

Cell lengths 4.9074, 4.4873, 12.4516 Å; angles 90.00, 90.00, 90.00 degrees
Positions (direct):
Sr1 0.0000 0.0000 0.0000
Sr2 0.0000 0.5000 0.5000
Sr3 0.5000 0.0000 0.2893
Sr4 0.5000 0.5000 0.7893
Li1 0.5000 0.0000 0.5856
Li2 0.5000 0.5000 0.0856
Cr1 0.0000 0.0000 0.7121
Cr2 0.0000 0.5000 0.2121

Calculated values
* N(E_F): 3.078 states/eV/f.u.
* magnetization: 9.67 μB per cell
* crystal system: orthorhombic
* DFT formation energy: 2.0 eV/f.u.
* total energy: -13.929 eV per formula unit